Entry 1:
La2Tb4Pb3O2: optimized geometry, PBE.

Output
ΔE_f (raw) in eV per formula unit: -15.791
Spin magnetization in μB/f.u.: 0.02

Cell lengths 4.7499, 4.7499, 26.1029 Å; angles 90.00, 90.00, 90.00 degrees
Closest atoms and distances in Å follow each position.
Space group I4/mmm (No. 139)
Asymmetric unit:
La1 0.0000 0.0000 0.1933 [4 per cell]  1 O 2.59
Tb1 0.0000 0.5000 0.0814 [8 per cell]  2 O 2.40
Pb1 0.0000 0.0000 0.3260 [4 per cell]  4 Tb 3.39, 5 La 3.40-3.46
Pb2 0.0000 0.0000 0.5000 [2 per cell]  8 Tb 3.19
O1 0.0000 0.0000 0.0940 [4 per cell]  4 Tb 2.40, 1 La 2.59


Entry 2:
La4Tb2Pb3O2: optimized geometry, PBE.

Output
ΔE_f (raw) in eV per formula unit: -15.071
Spin magnetization in μB/f.u.: 0.00

Cell lengths 4.8903, 4.8903, 26.2809 Å; angles 90.00, 90.00, 90.00 degrees
Closest atoms and distances in Å follow each position.
Space group I4/mmm (No. 139)
Asymmetric unit:
La1 0.0000 0.5000 0.0854 [8 per cell]  2 O 2.52
Tb1 0.0000 0.0000 0.1956 [4 per cell]  1 O 2.28
Pb1 0.0000 0.0000 0.3179 [4 per cell]  5 Tb 3.21-3.48, 4 La 3.53
Pb2 0.0000 0.0000 0.5000 [2 per cell]  8 La 3.32
O1 0.0000 0.0000 0.1088 [4 per cell]  1 Tb 2.28, 4 La 2.52


Entry 3:
LaTc2PbO8: optimized geometry, PBE.

Output
ΔE_f (raw) in eV per formula unit: -20.354
Spin magnetization in μB/f.u.: 3.01

Cell lengths 6.0549, 6.0549, 7.3251 Å; angles 90.00, 90.00, 120.00 degrees
Closest atoms and distances in Å follow each position.
Space group P-3m1 (No. 164)
Asymmetric unit:
La1 0.0000 0.0000 0.0000 [1 per cell]  6 O 2.40
Tc1 0.3333 0.6667 0.3023 [2 per cell]  4 O 1.76-1.83
Pb1 0.0000 0.0000 0.5000 [1 per cell]  6 O 2.67
O1 0.1670 0.3340 0.2247 [6 per cell]  1 Tc 1.83
O2 0.3333 0.6667 0.5422 [2 per cell]  1 Tc 1.76